Record 1
Entry from Alexandria: an optimized crystal structure of NiPIr2F (GGA-PBEsol).

Lattice parameters (Å, degrees): 3.550 4.394 4.394 90.00 90.00 90.00
Sites, in units of the cell vectors:
F (0.000, 0.000, 0.000)
Ir (0.000, 0.000, 0.500)
Ir (0.000, 0.500, 0.000)
P (0.500, 0.500, 0.500)
Ni (0.500, 0.000, 0.000)

Computed properties:
The symmetry is No. 123. The calculation puts the uncorrected formation energy at 1114 meV per atom.

---

Record 2
Entry from Alexandria: an optimized crystal structure of NiIrPt2F (GGA-PBEsol).

Lattice parameters (Å, degrees): 4.724 4.724 4.522 90.00 90.00 90.00
Sites, in units of the cell vectors:
F (0.500, 0.500, 0.500)
Pt (0.500, 0.000, 0.000)
Pt (0.000, 0.500, 0.000)
Ir (0.000, 0.000, 0.000)
Ni (0.000, 0.000, 0.500)

Computed properties:
The symmetry is No. 123. The calculation puts the uncorrected formation energy at 1388 meV per atom.